(1)
# TmLuAlTe3 PBE optimized geometry
# * calculated volume: 634.1 Å³ per cell
# * offset from the most stable computed form: 0.0 meV/atom
data_TmLuAlTe3
_chemical_formula_sum 'Tm4 Lu4 Al4 Te12'
_symmetry_space_group_name_H-M 'C m c m'
_symmetry_Int_Tables_number 63
_symmetry_space_group_name_Hall '-C 2c 2'
_cell_length_a 4.019
_cell_length_b 15.174
_cell_length_c 10.397
_cell_angle_alpha 90.00
_cell_angle_beta 90.00
_cell_angle_gamma 90.00
loop_
_atom_site_label
_atom_site_fract_x
_atom_site_fract_y
_atom_site_fract_z
Tm1 0.000 0.000 0.000
Lu1 0.000 0.216 0.250
Al1 0.000 0.478 0.750
Te1 0.000 0.125 0.750
Te2 0.000 0.347 0.548



(2)
# DyCo3 PBE optimized geometry
# * calculated volume: 229.6 Å³ per cell
# * offset from the most stable computed form: 373.5 meV/atom
data_DyCo3
_chemical_formula_sum 'Dy4 Co12'
_symmetry_space_group_name_H-M 'F m -3 m'
_symmetry_Int_Tables_number 225
_symmetry_space_group_name_Hall '-F 4 2 3'
_cell_length_a 6.123
_cell_length_b 6.123
_cell_length_c 6.123
_cell_angle_alpha 90.00
_cell_angle_beta 90.00
_cell_angle_gamma 90.00
loop_
_atom_site_label
_atom_site_fract_x
_atom_site_fract_y
_atom_site_fract_z
Dy1 0.000 0.000 0.000
Co1 0.000 0.000 0.500
Co2 0.250 0.250 0.250



(3)
# LiZnCuRe PBE optimized geometry
# * calculated volume: 208.7 Å³ per cell
# * offset from the most stable computed form: 0.0 meV/atom
data_LiZnCuRe
_chemical_formula_sum 'Li4 Zn4 Cu4 Re4'
_symmetry_space_group_name_H-M 'F -4 3 m'
_symmetry_Int_Tables_number 216
_symmetry_space_group_name_Hall 'F -4 2 3'
_cell_length_a 5.932
_cell_length_b 5.932
_cell_length_c 5.932
_cell_angle_alpha 90.00
_cell_angle_beta 90.00
_cell_angle_gamma 90.00
loop_
_atom_site_label
_atom_site_fract_x
_atom_site_fract_y
_atom_site_fract_z
Li1 0.000 0.000 0.000
Zn1 0.250 0.250 0.250
Cu1 0.000 0.000 0.500
Re1 0.250 0.250 0.750



(4)
# Sc2AgBi2 PBE optimized geometry
# * calculated volume: 275.8 Å³ per cell
# * final energy: -4.648 eV per atom
data_Sc2AgBi2
_chemical_formula_sum 'Sc4 Ag2 Bi4'
_symmetry_space_group_name_H-M 'I 4/m m m'
_symmetry_Int_Tables_number 139
_symmetry_space_group_name_Hall '-I 4 2'
_cell_length_a 4.407
_cell_length_b 4.407
_cell_length_c 14.197
_cell_angle_alpha 90.00
_cell_angle_beta 90.00
_cell_angle_gamma 90.00
loop_
_atom_site_label
_atom_site_fract_x
_atom_site_fract_y
_atom_site_fract_z
Sc1 0.000 0.000 0.100
Ag1 0.000 0.000 0.500
Bi1 0.000 0.500 0.250



(5)
# DyUSi2 PBE optimized geometry
# * calculated volume: 102.6 Å³ per cell
# * final energy: -6.326 eV per atom
data_DyUSi2
_chemical_formula_sum 'Dy1 U1 Si2'
_symmetry_space_group_name_H-M 'P 4/m m m'
_symmetry_Int_Tables_number 123
_symmetry_space_group_name_Hall '-P 4 2'
_cell_length_a 3.751
_cell_length_b 3.751
_cell_length_c 7.291
_cell_angle_alpha 90.00
_cell_angle_beta 90.00
_cell_angle_gamma 90.00
loop_
_atom_site_label
_atom_site_fract_x
_atom_site_fract_y
_atom_site_fract_z
Dy1 0.000 0.000 0.000
U1 0.500 0.500 0.500
Si1 0.000 0.000 0.352



(6)
# CsAg5Te3 PBE optimized geometry
# * calculated volume: 997.2 Å³ per cell
# * final energy: -3.017 eV per atom
data_CsAg5Te3
_chemical_formula_sum 'Cs4 Ag20 Te12'
_symmetry_space_group_name_H-M 'P 42/m n m'
_symmetry_Int_Tables_number 136
_symmetry_space_group_name_Hall '-P 4n 2n'
_cell_length_a 14.713
_cell_length_b 14.713
_cell_length_c 4.606
_cell_angle_alpha 90.00
_cell_angle_beta 90.00
_cell_angle_gamma 90.00
loop_
_atom_site_label
_atom_site_fract_x
_atom_site_fract_y
_atom_site_fract_z
Cs1 0.113 0.113 0.000
Ag1 0.017 0.396 0.000
Ag2 0.081 0.714 0.500
Ag3 0.177 0.823 0.000
Te1 0.098 0.902 0.500
Te2 0.118 0.326 0.500



The lowest calculated volume belongs to which entry? DyUSi2



What did the second record say?
# DyCo3 PBE optimized geometry
# * calculated volume: 229.6 Å³ per cell
# * offset from the most stable computed form: 373.5 meV/atom
data_DyCo3
_chemical_formula_sum 'Dy4 Co12'
_symmetry_space_group_name_H-M 'F m -3 m'
_symmetry_Int_Tables_number 225
_symmetry_space_group_name_Hall '-F 4 2 3'
_cell_length_a 6.123
_cell_length_b 6.123
_cell_length_c 6.123
_cell_angle_alpha 90.00
_cell_angle_beta 90.00
_cell_angle_gamma 90.00
loop_
_atom_site_label
_atom_site_fract_x
_atom_site_fract_y
_atom_site_fract_z
Dy1 0.000 0.000 0.000
Co1 0.000 0.000 0.500
Co2 0.250 0.250 0.250



What is the calculated volume in the sixth record? 997.2 Å³ per cell